Below is crystalline CoGePdRu2 at its relaxed geometry, with properties calculated at the PBE level.

Cell lengths 4.5164, 4.2760, 4.5164 Å; angles 90.00, 90.00, 90.00 degrees
With the nearest neighbours (Å) after each atom.
Fractional positions:
Ru 0.0000 0.0000 0.5000  2 Ge 2.26
Ru 0.5000 0.0000 0.0000  2 Ge 2.26
Ge 0.0000 0.0000 0.0000  2 Co 2.14, 4 Ru 2.26
Co 0.0000 0.5000 0.0000  2 Ge 2.14
Pd 0.5000 0.5000 0.5000  8 Ru 3.11, 4 Co 3.19

Its total energy is -30.0 eV for the cell shown. As for the space group: P4/mmm, No. 123. As for the energy of formation from the pure elements: 1102 meV/atom.


Below is crystalline CoGePdSe2 at its relaxed geometry, with properties calculated at the PBE level.

Cell lengths 4.6948, 4.4078, 4.6948 Å; angles 90.00, 90.00, 90.00 degrees
With the nearest neighbours (Å) after each atom.
Fractional positions:
Ge 0.0000 0.5000 0.0000  2 Co 2.20
Co 0.0000 0.0000 0.0000  2 Ge 2.20, 4 Se 2.35
Se 0.0000 0.0000 0.5000  2 Co 2.35
Se 0.5000 0.0000 0.0000  2 Co 2.35
Pd 0.5000 0.5000 0.5000  8 Se 3.22, 4 Ge 3.32

Its total energy is -22.1 eV for the cell shown. As for the space group: P4/mmm, No. 123. The raw formation energy comes out at 0.35 eV per atom.


Below is crystalline SmCoGe2Pd at its relaxed geometry, with properties calculated at the PBE level.

Cell lengths 4.1615, 4.1615, 5.9164 Å; angles 110.59, 110.59, 90.00 degrees
With the nearest neighbours (Å) after each atom.
Fractional positions:
Sm 0.0000 0.0000 0.0000  8 Ge 3.20, 4 Co 3.30, 4 Pd 3.30
Co 0.7500 0.2500 0.5000  4 Ge 2.45
Ge 0.6235 0.6235 0.2469  2 Co 2.45, 2 Pd 2.45, 1 Ge 2.53
Ge 0.3765 0.3765 0.7531  2 Co 2.45, 2 Pd 2.45, 1 Ge 2.53
Pd 0.2500 0.7500 0.5000  4 Ge 2.45

Its total energy is -29.6 eV for the cell shown. As for the space group: I-4m2, No. 119. As for the energy of formation from the pure elements: -672 meV/atom.


Question: Number 3 is which compound?
Answer: SmCoGe2Pd


Question: What is the formula in the second record?
Answer: CoGePdSe2